A plane-wave DFT calculation with GGA-PBE was carried out for a relaxed RbCoAg3 crystal.

Unit cell a=5.077 b=5.077 c=5.077 alpha=90.00 beta=90.00 gamma=90.00
Atoms (fractional coordinates):
Rb (0.000, 0.000, 0.000)
Co (0.500, 0.500, 0.500)
Ag (0.000, 0.500, 0.500)
Ag (0.500, 0.000, 0.500)
Ag (0.500, 0.500, 0.000)

Relative energy among the computed polymorphs ... 0.000 eV per atom
ΔE_f ... 0.584 eV/atom
Uncorrected energy ... -2.742 eV/atom


A plane-wave DFT calculation with GGA-PBE was carried out for a relaxed Sc3BiC crystal.

Unit cell a=7.760 b=7.760 c=7.760 alpha=144.23 beta=69.80 gamma=122.28
Atoms (fractional coordinates):
Sc (0.135, 0.385, 0.750)
Sc (0.229, 0.100, 0.130)
Sc (0.470, 0.100, 0.370)
Sc (0.530, 0.900, 0.630)
Sc (0.771, 0.900, 0.870)
Sc (0.865, 0.615, 0.250)
Bi (0.000, 0.500, 0.500)
Bi (0.500, 0.500, 0.000)
C (0.156, 0.906, 0.250)
C (0.844, 0.094, 0.750)

ΔE_f ... -0.401 eV/atom
Uncorrected energy ... -6.821 eV/atom


A plane-wave DFT calculation with GGA-PBE was carried out for a relaxed Sm2AgPb crystal.

Unit cell a=5.194 b=5.194 c=4.105 alpha=90.00 beta=90.00 gamma=90.00
Atoms (fractional coordinates):
Sm (0.000, 0.500, 0.000)
Sm (0.500, 0.000, 0.000)
Ag (0.000, 0.000, 0.500)
Pb (0.500, 0.500, 0.500)

ΔE_f ... -0.387 eV/atom
Uncorrected energy ... -4.386 eV/atom


A plane-wave DFT calculation with GGA-PBE was carried out for a relaxed CaPr3Y3 crystal.

Unit cell a=6.376 b=8.172 c=9.718 alpha=90.01 beta=90.19 gamma=104.98
Atoms (fractional coordinates):
Ca (0.141, 0.178, 0.110)
Ca (0.859, 0.822, 0.890)
Pr (0.003, 0.262, 0.744)
Pr (0.286, 0.104, 0.471)
Pr (0.287, 0.610, 0.963)
Pr (0.713, 0.390, 0.037)
Pr (0.714, 0.896, 0.529)
Pr (0.997, 0.738, 0.256)
Y (0.151, 0.677, 0.604)
Y (0.429, 0.538, 0.325)
Y (0.437, 0.041, 0.817)
Y (0.563, 0.959, 0.183)
Y (0.571, 0.462, 0.675)
Y (0.849, 0.323, 0.396)

ΔE_f ... 0.045 eV/atom
Uncorrected energy ... -5.060 eV/atom


A plane-wave DFT calculation with GGA-PBE was carried out for a relaxed SiNiCl2 crystal.

Unit cell a=3.317 b=6.181 c=8.371 alpha=90.00 beta=90.00 gamma=90.00
Atoms (fractional coordinates):
Si (0.000, 0.000, 0.000)
Si (0.500, 0.500, 0.000)
Ni (0.000, 0.500, 0.832)
Ni (0.500, 0.000, 0.832)
Cl (0.000, 0.000, 0.644)
Cl (0.000, 0.500, 0.221)
Cl (0.500, 0.000, 0.221)
Cl (0.500, 0.500, 0.644)

Relative energy among the computed polymorphs ... 0.334 eV per atom
E_form (uncorrected) ... -0.120 eV/atom
Uncorrected energy ... -3.844 eV/atom


A plane-wave DFT calculation with GGA-PBE was carried out for a relaxed NbInPt3 crystal.

Unit cell a=4.934 b=4.934 c=4.934 alpha=90.00 beta=90.00 gamma=90.00
Atoms (fractional coordinates):
Nb (0.000, 0.000, 0.000)
In (0.500, 0.500, 0.500)
Pt (0.000, 0.000, 0.500)
Pt (0.000, 0.500, 0.000)
Pt (0.500, 0.000, 0.000)

Relative energy among the computed polymorphs ... 0.000 eV per atom
ΔE_f ... 0.698 eV/atom
Uncorrected energy ... -5.488 eV/atom


no.,DOS(E_F) (states/eV per cell)
1,8.26
2,1.72
3,3.94
4,19.35
5,0.97
6,5.51